No. 1
NaTlVCl6, optimized geometry, DFT PBE-GGA; uncorrected energy = -3.8944 eV per atom; D(E_F) = 0.829 states/eV per atom; crystal system = monoclinic
1.0
-0.073 6.724 -1.455
0.373 2.116 -6.537
-6.538 -0.160 -0.422
Cl V Na Tl
6 1 1 1
direct
0.051 0.347 0.293 Cl
0.347 0.051 0.707 Cl
0.347 0.602 0.293 Cl
0.050 0.603 0.707 Cl
0.602 0.347 0.707 Cl
0.603 0.050 0.293 Cl
0.333 0.333 0.500 V
0.666 0.666 0.500 Na
0.000 0.000 0.000 Tl

---

No. 2
AlS2F, optimized geometry, DFT PBE-GGA; D(E_F) = 0.800 states/eV per atom; energy above the lowest structure with this stoichiometry = 1.41 eV/f.u.; crystal system = tetragonal
1.0
-1.318 4.903 2.054
-5.178 -0.706 -1.637
-4.461 -0.262 5.065
S F Al
4 2 2
direct
0.085 0.625 0.250 S
0.665 0.125 0.250 S
0.375 0.335 0.750 S
0.875 0.915 0.750 S
0.250 0.750 0.500 F
0.500 0.500 0.000 F
0.000 0.000 0.000 Al
0.750 0.250 0.500 Al

---

No. 3
LiMg2Co, optimized geometry, DFT PBE-GGA; D(E_F) = 0.917 states/eV per atom; DFT formation energy = 3.09 kcal/mol of atoms; crystal system = orthorhombic
1.0
5.480 0.046 0.057
2.706 4.766 -0.057
-3.566 -3.303 2.532
Co Li Mg
1 1 2
direct
0.497 0.497 0.000 Co
0.279 0.779 0.500 Li
0.003 0.003 0.000 Mg
0.722 0.222 0.500 Mg

---

No. 4
TaVRh, optimized geometry, DFT PBE-GGA; D(E_F) = 1.065 states/eV per atom; energy above the lowest structure with this stoichiometry = 0.23 eV/f.u.; DFT formation energy = -5.58 kcal/mol of atoms; crystal system = monoclinic
1.0
2.818 0.000 -0.018
0.000 3.981 0.000
-1.428 0.000 8.162
Rh Ta V
2 2 2
direct
0.581 0.500 0.853 Rh
0.367 0.500 0.496 Rh
0.162 0.000 0.031 Ta
0.013 0.000 0.674 Ta
0.859 0.500 0.203 V
0.631 0.000 0.340 V

---

No. 5
Pm2NdAg, optimized geometry, DFT PBE-GGA; D(E_F) = 1.282 states/eV per atom; energy above the lowest structure with this stoichiometry = 0.50 eV/f.u.; DFT formation energy = 0.19 kcal/mol of atoms; crystal system = trigonal
1.0
3.683 0.000 0.000
1.842 3.190 0.000
1.842 1.063 10.702
Nd Ag Pm
1 1 2
direct
0.500 0.500 0.501 Nd
0.667 0.667 0.999 Ag
0.073 0.073 0.781 Pm
0.260 0.260 0.219 Pm

---

No. 6
MgScIn2, optimized geometry, DFT PBE-GGA; D(E_F) = 0.887 states/eV per atom; DFT formation energy = -3.67 kcal/mol of atoms; crystal system = orthorhombic
1.0
3.430 0.000 0.000
0.000 4.436 0.000
0.000 0.000 6.216
Sc In Mg
1 2 1
direct
0.500 0.500 0.761 Sc
0.500 0.500 0.265 In
0.000 0.000 0.980 In
0.000 0.000 0.494 Mg

---

No. 7
YTi2CdN, optimized geometry, DFT PBE-GGA; uncorrected energy = -7.0217 eV per atom; D(E_F) = 0.756 states/eV per atom; crystal system = tetragonal
1.0
4.264 0.000 0.000
0.000 4.264 0.000
0.000 0.000 4.745
Y Ti Cd N
1 2 1 1
direct
0.000 0.000 0.500 Y
0.000 0.500 0.000 Ti
0.500 0.000 0.000 Ti
0.500 0.500 0.500 Cd
0.000 0.000 0.000 N

---

No. 8
FeCuIN2, optimized geometry, DFT PBE-GGA; D(E_F) = 0.789 states/eV per atom; energy above the lowest structure with this stoichiometry = 0.00 eV/f.u.; crystal system = tetragonal
1.0
-0.200 3.591 0.229
-1.171 -0.281 3.396
6.348 0.212 2.206
N Fe I Cu
2 1 1 1
direct
0.500 0.000 0.000 N
0.000 0.500 0.000 N
0.000 0.000 0.000 Fe
0.000 0.000 0.500 I
0.500 0.500 0.500 Cu

---

No. 9
Cs2VRhCl6, optimized geometry, DFT PBE-GGA; uncorrected energy = -4.1406 eV per atom; D(E_F) = 3.010 states/eV per atom; crystal system = tetragonal
1.0
7.166 0.000 0.000
0.000 7.166 0.000
3.583 3.583 5.084
Cl Rh V Cs
6 1 1 2
direct
0.258 0.742 0.000 Cl
0.258 0.258 0.000 Cl
0.259 0.259 0.482 Cl
0.742 0.742 0.000 Cl
0.742 0.258 0.000 Cl
0.741 0.741 0.518 Cl
0.000 0.000 0.000 Rh
0.500 0.500 0.000 V
0.250 0.750 0.500 Cs
0.750 0.250 0.500 Cs

---

No. 10
MgTlZn2, optimized geometry, DFT PBE-GGA; D(E_F) = 0.281 states/eV per atom; energy above the lowest structure with this stoichiometry = 0.05 eV/f.u.; DFT formation energy = 1.55 kcal/mol of atoms; crystal system = monoclinic
1.0
4.665 0.015 0.089
3.577 2.995 0.089
1.137 0.415 6.115
Tl Zn Mg
1 2 1
direct
0.256 0.256 0.238 Tl
0.746 0.746 0.786 Zn
0.007 0.007 0.933 Zn
0.491 0.491 0.543 Mg

---

No. 11
Dy4Mg5Al2, optimized geometry, DFT PBE-GGA; D(E_F) = 0.874 states/eV per atom; DFT formation energy = -3.21 kcal/mol of atoms; crystal system = monoclinic
1.0
-1.187 2.756 1.765
-7.460 -2.799 -0.647
1.843 -4.809 8.749
Al Dy Mg
2 4 5
direct
0.000 0.945 0.371 Al
0.000 0.055 0.629 Al
0.500 0.735 0.556 Dy
0.500 0.843 0.125 Dy
0.500 0.265 0.444 Dy
0.500 0.157 0.875 Dy
0.000 0.191 0.164 Mg
0.000 0.500 0.000 Mg
0.000 0.572 0.298 Mg
0.000 0.809 0.836 Mg
0.000 0.428 0.702 Mg

---

No. 12
LaOsBr, optimized geometry, DFT PBE-GGA; D(E_F) = 0.495 states/eV per atom; energy above the lowest structure with this stoichiometry = 0.00 eV/f.u.; crystal system = monoclinic
1.0
4.231 0.000 0.710
2.060 3.701 0.687
0.197 0.149 11.781
Os Br La
2 2 2
direct
0.436 0.122 0.006 Os
0.769 0.455 0.006 Os
0.318 0.010 0.355 Br
0.554 0.235 0.657 Br
0.165 0.847 0.823 La
0.041 0.730 0.188 La

---

No. 13
HfAgSn2N, optimized geometry, DFT PBE-GGA; uncorrected energy = -4.8007 eV per atom; D(E_F) = 0.829 states/eV per atom; crystal system = tetragonal
1.0
5.516 0.000 0.000
0.000 3.769 0.000
0.000 0.000 5.516
Hf Ag Sn N
1 1 2 1
direct
0.500 0.500 0.500 Hf
0.000 0.000 0.000 Ag
0.000 0.000 0.500 Sn
0.500 0.000 0.000 Sn
0.000 0.500 0.000 N

---

No. 14
Li4ZrPb, optimized geometry, DFT PBE-GGA; D(E_F) = 0.525 states/eV per atom; DFT formation energy = 2.11 kcal/mol of atoms; crystal system = cubic
1.0
4.801 -1.939 -1.583
0.984 -5.318 0.241
0.381 -2.892 -4.561
Li Pb Zr
4 1 1
direct
0.375 0.876 0.375 Li
0.375 0.375 0.876 Li
0.375 0.375 0.375 Li
0.876 0.375 0.375 Li
0.750 0.750 0.750 Pb
0.000 0.000 0.000 Zr

---

No. 15
AlTl2Cr, optimized geometry, DFT PBE-GGA; D(E_F) = 0.516 states/eV per atom; energy above the lowest structure with this stoichiometry = 0.79 eV/f.u.; DFT formation energy = 11.85 kcal/mol of atoms; crystal system = orthorhombic
1.0
0.106 -3.619 -0.183
2.922 -0.014 2.145
-4.042 -0.397 5.504
Tl Al Cr
2 1 1
direct
0.000 0.000 0.504 Tl
0.000 0.000 0.996 Tl
0.500 0.500 0.250 Al
0.500 0.500 0.750 Cr

---

No. 16
Cu2ReAs, optimized geometry, DFT PBE-GGA; D(E_F) = 0.495 states/eV per atom; DFT formation energy = 7.75 kcal/mol of atoms; crystal system = orthorhombic
1.0
5.178 0.001 0.002
2.663 4.441 -0.002
-3.484 -2.992 2.393
Cu Re As
2 1 1
direct
0.489 0.489 0.000 Cu
0.011 0.011 0.000 Cu
0.750 0.250 0.500 Re
0.250 0.750 0.500 As

---

No. 17
SmY2Er, optimized geometry, DFT PBE-GGA; D(E_F) = 1.480 states/eV per atom; energy above the lowest structure with this stoichiometry = 0.07 eV/f.u.; DFT formation energy = 0.56 kcal/mol of atoms; crystal system = tetragonal
1.0
5.052 0.000 0.000
0.000 5.046 0.000
0.000 0.000 5.046
Er Y Sm
1 2 1
direct
0.500 0.500 0.500 Er
0.000 0.500 0.000 Y
0.000 0.000 0.500 Y
0.500 0.000 0.000 Sm

---

No. 18
Er2CuGe3Ir4, optimized geometry, DFT PBE-GGA; D(E_F) = 0.469 states/eV per atom; DFT formation energy = -15.33 kcal/mol of atoms; crystal system = tetragonal
1.0
-3.469 -2.038 0.887
2.093 -2.441 2.576
-1.895 6.631 7.825
Ge Cu Er Ir
3 1 2 4
direct
0.000 0.500 0.132 Ge
0.500 0.000 0.868 Ge
0.000 0.000 0.500 Ge
0.500 0.500 0.500 Cu
0.500 0.000 0.251 Er
0.000 0.500 0.749 Er
0.500 0.000 0.637 Ir
0.000 0.500 0.363 Ir
0.500 0.500 0.000 Ir
0.000 0.000 0.000 Ir

---

No. 19
CrCoHIr2, optimized geometry, DFT PBE-GGA; D(E_F) = 0.927 states/eV per atom; energy above the lowest structure with this stoichiometry = 0.00 eV/f.u.; crystal system = tetragonal
1.0
-1.104 -0.871 3.599
-0.325 -3.718 -1.000
3.514 -0.560 0.943
Co Ir Cr H
1 2 1 1
direct
0.000 0.000 0.500 Co
0.000 0.500 0.000 Ir
0.500 0.000 0.000 Ir
0.500 0.500 0.500 Cr
0.000 0.000 0.000 H

---

No. 20
LiCeSc2Se4, optimized geometry, DFT PBE-GGA; uncorrected energy = -5.9521 eV per atom; D(E_F) = 0.951 states/eV per atom; crystal system = monoclinic
1.0
3.955 0.000 0.000
0.000 6.852 0.127
0.000 -2.389 6.545
Se Ce Li Sc
4 1 1 2
direct
0.500 0.267 0.267 Se
0.000 0.746 0.263 Se
0.500 0.733 0.733 Se
0.000 0.254 0.737 Se
0.000 0.000 0.000 Ce
0.500 0.500 0.000 Li
0.500 0.000 0.500 Sc
0.000 0.500 0.500 Sc

---

No. 21
Pu3Mn2Ge2, optimized geometry, DFT PBE-GGA; D(E_F) = 2.018 states/eV per atom; DFT formation energy = -5.22 kcal/mol of atoms; crystal system = orthorhombic
1.0
-3.044 -1.763 2.792
-1.838 -0.941 -2.598
7.042 -6.972 -0.339
Pu Mn Ge
3 2 2
direct
0.000 0.000 0.000 Pu
0.308 0.808 0.616 Pu
0.692 0.192 0.384 Pu
0.430 0.430 0.861 Mn
0.570 0.570 0.139 Mn
0.138 0.638 0.275 Ge
0.862 0.362 0.725 Ge

---

No. 22
SrVSeN2, optimized geometry, DFT PBE-GGA; D(E_F) = 0.544 states/eV per atom; energy above the lowest structure with this stoichiometry = 7.91 eV/f.u.; crystal system = tetragonal
1.0
-4.091 -1.723 -0.414
0.639 -2.412 3.730
-1.655 3.341 2.444
V N Se Sr
1 2 1 1
direct
0.000 0.500 0.000 V
0.500 0.000 0.000 N
0.000 0.000 0.500 N
0.000 0.000 0.000 Se
0.500 0.500 0.500 Sr

---

No. 23
VCdRu, optimized geometry, DFT PBE-GGA; D(E_F) = 0.583 states/eV per atom; energy above the lowest structure with this stoichiometry = 0.00 eV/f.u.; DFT formation energy = 0.38 kcal/mol of atoms; crystal system = tetragonal
1.0
-0.262 -0.118 3.078
-0.150 -3.085 -0.131
5.245 1.339 -1.055
Cd Ru V
1 1 1
direct
0.000 0.000 0.000 Cd
0.309 0.309 0.618 Ru
0.691 0.691 0.382 V

---

No. 24
Pm4InFe, optimized geometry, DFT PBE-GGA; D(E_F) = 0.894 states/eV per atom; DFT formation energy = -3.41 kcal/mol of atoms; crystal system = monoclinic
1.0
-0.568 5.767 -1.352
4.416 -0.889 -5.647
-8.107 -4.078 -1.077
Fe Pm In
2 8 2
direct
0.332 0.514 0.028 Fe
0.668 0.486 0.972 Fe
0.000 0.228 0.000 Pm
0.617 0.364 0.243 Pm
0.000 0.772 0.000 Pm
0.617 0.879 0.243 Pm
0.803 0.316 0.631 Pm
0.197 0.684 0.369 Pm
0.383 0.121 0.757 Pm
0.383 0.636 0.757 Pm
0.806 0.807 0.613 In
0.194 0.193 0.387 In

---

No. 25
V2TcNiPd, optimized geometry, DFT PBE-GGA; D(E_F) = 1.982 states/eV per atom; DFT formation energy = 41.34 kcal/mol of atoms; crystal system = tetragonal
1.0
4.505 0.000 0.000
0.000 4.718 0.000
0.000 0.000 4.505
Pd V Ni Tc
1 2 1 1
direct
0.000 0.000 0.000 Pd
0.000 0.000 0.500 V
0.500 0.000 0.000 V
0.500 0.500 0.500 Ni
0.000 0.500 0.000 Tc

---

No. 26
MoRu2, optimized geometry, DFT PBE-GGA; D(E_F) = 1.687 states/eV per atom; DFT formation energy = 19.54 kcal/mol of atoms; crystal system = tetragonal
1.0
-3.748 0.458 -1.553
-1.544 -2.193 3.079
-0.372 2.595 1.662
Ru Mo
2 1
direct
0.000 0.500 0.500 Ru
0.500 0.000 0.500 Ru
0.000 0.000 0.000 Mo

---

No. 27
Rb2MgSn, optimized geometry, DFT PBE-GGA; D(E_F) = 1.127 states/eV per atom; DFT formation energy = 5.51 kcal/mol of atoms; crystal system = cubic
1.0
0.000 4.431 4.431
4.431 0.000 4.431
4.431 4.431 0.000
Mg Rb Sn
1 2 1
direct
0.000 0.000 0.000 Mg
0.250 0.250 0.250 Rb
0.750 0.750 0.750 Rb
0.500 0.500 0.500 Sn